Entry 1:
The following is a DFT calculation (GGA-PBE) of LiLaAl2Ag4 after structural relaxation.

Calculated values
The space-group type is R-3m, No. 166. The density of states at the Fermi level comes out at 3.76 states/eV/f.u. The calculation puts the formation energy at -198 kJ/mol of formula units.

abc: 9.127 9.127 9.127
angles: 28.85 28.85 28.85
Sites, in units of the cell vectors:
Li (0.000, 0.000, 0.000)
La (0.500, 0.500, 0.500)
Al (0.259, 0.259, 0.259)
Al (0.741, 0.741, 0.741)
Ag (0.096, 0.096, 0.096)
Ag (0.366, 0.366, 0.366)
Ag (0.634, 0.634, 0.634)
Ag (0.904, 0.904, 0.904)

---

Entry 2:
The following is a DFT calculation (GGA-PBE) of LaMgAlAg3 after structural relaxation.

Calculated values
The space-group type is Cmcm, No. 63. The density of states at the Fermi level comes out at 3.40 states/eV/f.u. The calculation puts the formation energy at -53 kJ/mol of formula units.

abc: 7.372 7.372 6.054
angles: 90.00 90.00 123.94
Sites, in units of the cell vectors:
La (0.208, 0.792, 0.750)
La (0.792, 0.208, 0.250)
Mg (0.450, 0.550, 0.750)
Mg (0.550, 0.450, 0.250)
Al (0.136, 0.864, 0.250)
Al (0.864, 0.136, 0.750)
Ag (0.199, 0.199, 0.000)
Ag (0.199, 0.199, 0.500)
Ag (0.340, 0.660, 0.250)
Ag (0.660, 0.340, 0.750)
Ag (0.801, 0.801, 0.000)
Ag (0.801, 0.801, 0.500)

---

Entry 3:
The following is a DFT calculation (GGA-PBE) of LaMgAl2Ag5 after structural relaxation.

Calculated values
The space-group type is P4/mmm, No. 123. The density of states at the Fermi level comes out at 3.72 states/eV/f.u. The calculation puts the formation energy at -44 kJ/mol of formula units.

abc: 4.953 4.953 7.876
angles: 90.00 90.00 90.00
Sites, in units of the cell vectors:
La (0.000, 0.000, 0.000)
Mg (0.000, 0.000, 0.500)
Al (0.500, 0.500, 0.338)
Al (0.500, 0.500, 0.662)
Ag (0.000, 0.500, 0.250)
Ag (0.000, 0.500, 0.750)
Ag (0.500, 0.000, 0.250)
Ag (0.500, 0.000, 0.750)
Ag (0.500, 0.500, 0.000)

---

Entry 4:
The following is a DFT calculation (GGA-PBE) of La2MgAl4Ag3 after structural relaxation.

Calculated values
The space-group type is P-4m2, No. 115. The density of states at the Fermi level comes out at 7.39 states/eV/f.u. The calculation puts the formation energy at -326 kJ/mol of formula units.

abc: 4.415 4.415 11.359
angles: 90.00 90.00 90.00
Sites, in units of the cell vectors:
La (0.000, 0.500, 0.244)
La (0.500, 0.000, 0.756)
Mg (0.000, 0.000, 0.500)
Al (0.000, 0.000, 0.000)
Al (0.000, 0.500, 0.647)
Al (0.500, 0.000, 0.353)
Al (0.500, 0.500, 0.000)
Ag (0.000, 0.500, 0.873)
Ag (0.500, 0.000, 0.127)
Ag (0.500, 0.500, 0.500)

---

Entry 5:
The following is a DFT calculation (GGA-PBE) of LaMgAlAg2 after structural relaxation.

Calculated values
The space-group type is I-4m2, No. 119. The density of states at the Fermi level comes out at 4.20 states/eV/f.u. The calculation puts the formation energy at -131 kJ/mol of formula units.

abc: 6.821 6.821 6.821
angles: 142.89 142.89 53.48
Sites, in units of the cell vectors:
La (0.000, 0.000, 0.000)
Mg (0.250, 0.750, 0.500)
Al (0.750, 0.250, 0.500)
Ag (0.386, 0.386, 0.000)
Ag (0.614, 0.614, 0.000)

---

Entry 6:
The following is a DFT calculation (GGA-PBE) of NaLaAlAg after structural relaxation.

Calculated values
The space-group type is F-43m, No. 216. The density of states at the Fermi level comes out at 2.06 states/eV/f.u. The calculation puts the formation energy at -44 kJ/mol of formula units.

abc: 5.090 5.090 5.090
angles: 60.00 60.00 60.00
Sites, in units of the cell vectors:
Na (0.000, 0.000, 0.000)
La (0.750, 0.750, 0.750)
Al (0.250, 0.250, 0.250)
Ag (0.500, 0.500, 0.500)